1.
KLi2Co, PBEsol geometry, DFT SCAN; distance to the lowest polymorph of the same formula = 122 meV/atom; SG = Immm
1.0
2.744 0.000 0.000
0.000 5.766 0.000
-1.372 -2.883 5.712
Li Co K
2 1 1
direct
0.692 0.692 0.384
0.308 0.308 0.616
0.000 0.500 0.000
0.500 0.000 0.000



2.
ScRe2, PBEsol geometry, DFT SCAN; uncorrected energy = -3.86382 Ry/atom; SG = Fd-3m
1.0
5.233 0.000 0.000
2.616 4.532 0.000
2.616 1.511 4.273
Sc Re
2 4
direct
0.000 0.000 0.000
0.250 0.250 0.250
0.625 0.625 0.125
0.625 0.625 0.625
0.625 0.125 0.625
0.125 0.625 0.625